# 1
Here is crystalline CaZnOs2 at its relaxed geometry from the Alexandria database. Energies are from GGA-PBE.

Geometry as POSCAR:
```
CaZnOs2
1.0
10.041 0.000 0.000
0.000 2.889 0.000
-1.512 0.000 4.628
Ca Zn Os
2 2 4
Direct
0.000 0.000 0.000
0.500 0.500 0.000
0.000 0.500 0.500
0.500 0.000 0.500
0.225 0.000 0.703
0.275 0.500 0.297
0.725 0.500 0.703
0.775 0.000 0.297
```

## Properties
Calculated volume, Å³ per cell: 134
E, Ry/atom: -0.4407
E_form, eV per atom: 0.4375

***

# 2
Here is crystalline CaZnOs2 at its relaxed geometry from the Alexandria database. Energies are from GGA-PBE.

Geometry as POSCAR:
```
CaZnOs2
1.0
3.276 0.000 0.000
0.000 3.276 0.000
0.000 0.000 6.608
Ca Zn Os
1 1 2
Direct
0.000 0.000 0.000
0.000 0.000 0.500
0.500 0.500 0.314
0.500 0.500 0.686
```

## Properties
Calculated volume, Å³ per cell: 71
E, Ry/atom: -0.4263
E_form, eV per atom: 0.6340

***

# 3
Here is crystalline CaZnOs2 at its relaxed geometry from the Alexandria database. Energies are from GGA-PBE.

Geometry as POSCAR:
```
CaZnOs2
1.0
2.754 0.000 0.000
0.000 2.754 0.000
0.000 0.000 8.687
Ca Zn Os
1 1 2
Direct
0.000 0.000 0.000
0.000 0.000 0.500
0.500 0.500 0.279
0.500 0.500 0.721
```

## Properties
Calculated volume, Å³ per cell: 66
E, Ry/atom: -0.4275
E_form, eV per atom: 0.6169

***

# 4
Here is crystalline CaZn3Os at its relaxed geometry from the Alexandria database. Energies are from GGA-PBE.

Geometry as POSCAR:
```
CaZn3Os
1.0
5.187 0.000 0.000
0.000 5.187 0.000
0.000 0.000 5.187
Ca Zn Os
1 3 1
Direct
0.000 0.000 0.000
0.000 0.000 0.500
0.000 0.500 0.000
0.500 0.000 0.000
0.500 0.500 0.500
```

## Properties
Calculated volume, Å³ per cell: 140
E above lowest polymorph, eV/f.u.: 9.057
E, Ry/atom: -0.1108
E_form, eV per atom: 1.9029

***

# 5
Here is crystalline Ca3ZnOs at its relaxed geometry from the Alexandria database. Energies are from GGA-PBE.

Geometry as POSCAR:
```
Ca3ZnOs
1.0
5.464 0.000 0.000
0.000 5.464 0.000
0.000 0.000 5.464
Ca Zn Os
3 1 1
Direct
0.000 0.000 0.500
0.000 0.500 0.000
0.500 0.000 0.000
0.500 0.500 0.500
0.000 0.000 0.000
```

## Properties
Calculated volume, Å³ per cell: 163
E above lowest polymorph, eV/f.u.: 0.000
E, Ry/atom: -0.2427
E_form, eV per atom: 0.3989

***

# 6
Here is crystalline CaZnOs2 at its relaxed geometry from the Alexandria database. Energies are from GGA-PBE.

Geometry as POSCAR:
```
CaZnOs2
1.0
2.909 0.000 0.000
0.000 4.802 0.000
0.000 0.000 9.957
Ca Zn Os
2 2 4
Direct
0.000 0.000 0.000
0.500 0.500 0.500
0.000 0.500 0.214
0.500 0.000 0.714
0.000 0.000 0.487
0.000 0.500 0.777
0.500 0.000 0.277
0.500 0.500 0.987
```

## Properties
Calculated volume, Å³ per cell: 139
E, Ry/atom: -0.4389
E_form, eV per atom: 0.4617

***

# 7
Here is crystalline Ca2Zn2Os at its relaxed geometry from the Alexandria database. Energies are from GGA-PBE.

Geometry as POSCAR:
```
Ca2Zn2Os
1.0
6.757 0.000 0.000
0.000 6.757 0.000
0.000 0.000 4.671
Ca Zn Os
4 4 2
Direct
0.184 0.316 0.000
0.316 0.816 0.000
0.684 0.184 0.000
0.816 0.684 0.000
0.140 0.640 0.500
0.360 0.140 0.500
0.640 0.860 0.500
0.860 0.360 0.500
0.000 0.000 0.500
0.500 0.500 0.500
```

## Properties
Calculated volume, Å³ per cell: 213
E, Ry/atom: -0.2525
E_form, eV per atom: 0.1213

***

# 8
Here is crystalline CaZnOs2 at its relaxed geometry from the Alexandria database. Energies are from GGA-PBE.

Geometry as POSCAR:
```
CaZnOs2
1.0
2.764 0.000 0.000
0.000 4.737 0.000
-0.579 0.000 5.108
Ca Zn Os
1 1 2
Direct
0.000 0.000 0.000
0.500 0.000 0.500
0.306 0.500 0.722
0.694 0.500 0.278
```

## Properties
Calculated volume, Å³ per cell: 67
E, Ry/atom: -0.4372
E_form, eV per atom: 0.4860

***

# 9
Here is crystalline CaZnOs2 at its relaxed geometry from the Alexandria database. Energies are from GGA-PBE.

Geometry as POSCAR:
```
CaZnOs2
1.0
8.381 0.000 0.000
0.000 2.892 0.000
-0.852 0.000 6.192
Ca Zn Os
2 2 4
Direct
0.000 0.000 0.000
0.500 0.500 0.000
0.236 0.000 0.696
0.736 0.500 0.696
0.249 0.500 0.332
0.495 0.000 0.476
0.749 0.000 0.332
0.995 0.500 0.476
```

## Properties
Calculated volume, Å³ per cell: 150
E, Ry/atom: -0.4467
E_form, eV per atom: 0.3564

***

# 10
Here is crystalline CaZnOs2 at its relaxed geometry from the Alexandria database. Energies are from GGA-PBE.

Geometry as POSCAR:
```
CaZnOs2
1.0
5.597 0.000 0.000
0.000 9.441 0.000
-1.212 0.000 2.469
Ca Zn Os
2 2 4
Direct
0.000 0.000 0.000
0.500 0.500 0.000
0.000 0.500 0.000
0.500 0.000 0.000
0.250 0.250 0.500
0.250 0.750 0.500
0.750 0.250 0.500
0.750 0.750 0.500
```

## Properties
Calculated volume, Å³ per cell: 130
E, Ry/atom: -0.4350
E_form, eV per atom: 0.5156

***

# 11
Here is crystalline CaZnOs2 at its relaxed geometry from the Alexandria database. Energies are from GGA-PBE.

Geometry as POSCAR:
```
CaZnOs2
1.0
5.735 0.000 0.000
0.000 8.933 0.000
0.000 0.000 2.594
Ca Zn Os
2 2 4
Direct
0.000 0.000 0.000
0.500 0.500 0.000
0.000 0.500 0.000
0.500 0.000 0.000
0.250 0.250 0.500
0.250 0.750 0.500
0.750 0.250 0.500
0.750 0.750 0.500
```

## Properties
Calculated volume, Å³ per cell: 133
E, Ry/atom: -0.4274
E_form, eV per atom: 0.6186

***

# 12
Here is crystalline CaZrZn2Os at its relaxed geometry from the Alexandria database. Energies are from GGA-PBE.

Geometry as POSCAR:
```
CaZrZn2Os
1.0
5.179 0.000 0.000
0.000 5.179 0.000
0.000 0.000 4.881
Ca Zr Zn Os
1 1 2 1
Direct
0.000 0.000 0.000
0.500 0.500 0.500
0.000 0.500 0.500
0.500 0.000 0.500
0.500 0.500 0.000
```

## Properties
Calculated volume, Å³ per cell: 131
E, Ry/atom: -0.3032
E_form, eV per atom: 0.7405